Below is a geometry-optimized LiCr2Rh2 structure, with properties calculated at the PBE-GGA level.

The structure in extended XYZ format:
```
5
Lattice="-1.618 1.618 6.591 1.618 -1.618 6.591 1.618 1.618 -6.591" Properties=species:S:1:pos:R:3 pbc="T T T"
Li 0.000 0.000 0.000
Cr 1.618 0.000 3.295
Cr 0.000 1.618 3.295
Rh 0.000 0.000 5.257
Rh 0.000 0.000 7.924
```

Calculated values
Space-group type: I4/mmm, No. 139
Polymorph energy (0 for the lowest one) in meV/atom: 221
Magnetic moment in μB/atom: 0.0000
ΔE_f in eV/atom: 0.25